[1]
LaNd2Pb: relaxed, PBE-GGA.

Lattice parameters (Å, degrees): 3.5630 3.5630 37.0226 90.00 90.00 120.00
Space group R-3m (No. 166, hexagonal axes)
Unique sites:
La 0.0000 0.0000 0.0000 [3 per cell]
Nd 0.0000 0.0000 0.0931 [6 per cell]
Pb 0.0000 0.0000 0.5000 [3 per cell]

Output
ΔE to the lowest computed polymorph ... 359 meV per atom
Formation energy ... 0.0042 eV per atom
Crystal system ... trigonal

***

[2]
LaNd3Pb3: relaxed, PBE-GGA.

Lattice parameters (Å, degrees): 9.6572 9.6572 5.6193 90.00 90.00 120.00
Space group P6_3/m (No. 176)
Unique sites:
La 0.3333 0.6667 0.2500 [2 per cell]
Nd 0.0027 0.2407 0.2500 [6 per cell]
Pb 0.0762 0.4520 0.7500 [6 per cell]

Output
Formation energy ... -0.4100 eV per atom
Crystal system ... hexagonal

***

[3]
LaNd4Pb2: relaxed, PBE-GGA.

Lattice parameters (Å, degrees): 5.5320 5.5320 16.7316 90.00 90.00 90.00
Space group I4/mmm (No. 139)
Unique sites:
La 0.0000 0.0000 0.0000 [2 per cell]
Nd 0.0000 0.0000 0.1815 [4 per cell]
Nd 0.0000 0.5000 0.0000 [4 per cell]
Pb 0.0000 0.0000 0.3687 [4 per cell]

Output
Formation energy ... 0.2931 eV per atom
Crystal system ... tetragonal

***

[4]
La5NdPb5: relaxed, PBE-GGA.

Lattice parameters (Å, degrees): 15.0054 6.5621 8.9829 90.00 107.45 90.00
Space group C2/m (No. 12)
Unique sites:
La 0.0000 0.0000 0.0000 [2 per cell]
La 0.1687 0.5000 0.3351 [4 per cell]
La 0.1689 0.5000 0.8332 [4 per cell]
Nd 0.0000 0.0000 0.5000 [2 per cell]
Pb 0.0000 0.5000 0.5000 [2 per cell]
Pb 0.1626 0.0000 0.3306 [4 per cell]
Pb 0.1634 0.0000 0.8330 [4 per cell]

Output
Formation energy ... -0.3898 eV per atom
Crystal system ... monoclinic

***

[5]
LaNdPb6: relaxed, PBE-GGA.

Lattice parameters (Å, degrees): 4.9517 4.9517 9.8771 90.00 90.00 90.00
Space group P4/mmm (No. 123)
Unique sites:
La 0.0000 0.0000 0.0000 [1 per cell]
Nd 0.0000 0.0000 0.5000 [1 per cell]
Pb 0.0000 0.5000 0.2520 [4 per cell]
Pb 0.5000 0.5000 0.0000 [1 per cell]
Pb 0.5000 0.5000 0.5000 [1 per cell]

Output
Formation energy ... -0.4107 eV per atom
Crystal system ... tetragonal

***

[6]
La2Nd8Pb: relaxed, PBE-GGA.

Lattice parameters (Å, degrees): 18.7346 5.1023 8.1783 90.00 104.92 90.00
Space group C2/m (No. 12)
Unique sites:
La 0.2225 0.0000 0.1319 [4 per cell]
Nd 0.0425 0.0000 0.2296 [4 per cell]
Nd 0.0893 0.5000 0.9381 [4 per cell]
Nd 0.1381 0.0000 0.6785 [4 per cell]
Nd 0.1766 0.5000 0.4074 [4 per cell]
Pb 0.0000 0.5000 0.5000 [2 per cell]

Output
Formation energy ... -0.0782 eV per atom
Crystal system ... monoclinic

***

[7]
La3Nd2Pb3: relaxed, PBE-GGA.

Lattice parameters (Å, degrees): 9.5513 9.5513 6.9496 90.00 90.00 120.00
Space group P6_3/mcm (No. 193)
Unique sites:
La 0.0000 0.2440 0.2500 [6 per cell]
Nd 0.3333 0.6667 0.0000 [4 per cell]
Pb 0.0000 0.3942 0.7500 [6 per cell]

Output
Formation energy ... -0.5526 eV per atom
Crystal system ... hexagonal

***

[8]
La6Nd5Pb: relaxed, PBE-GGA.

Lattice parameters (Å, degrees): 5.0988 10.4256 15.7849 90.00 90.00 90.00
Space group Immm (No. 71)
Unique sites:
La 0.0000 0.2430 0.1632 [8 per cell]
La 0.0000 0.2563 0.5000 [4 per cell]
Nd 0.0000 0.0000 0.3353 [4 per cell]
Nd 0.0000 0.5000 0.0000 [2 per cell]
Nd 0.0000 0.5000 0.3334 [4 per cell]
Pb 0.0000 0.0000 0.0000 [2 per cell]

Output
Formation energy ... -0.0852 eV per atom
Crystal system ... orthorhombic

***

What did the sixth record say?
La2Nd8Pb: relaxed, PBE-GGA.

Lattice parameters (Å, degrees): 18.7346 5.1023 8.1783 90.00 104.92 90.00
Space group C2/m (No. 12)
Unique sites:
La 0.2225 0.0000 0.1319 [4 per cell]
Nd 0.0425 0.0000 0.2296 [4 per cell]
Nd 0.0893 0.5000 0.9381 [4 per cell]
Nd 0.1381 0.0000 0.6785 [4 per cell]
Nd 0.1766 0.5000 0.4074 [4 per cell]
Pb 0.0000 0.5000 0.5000 [2 per cell]

Output
Formation energy ... -0.0782 eV per atom
Crystal system ... monoclinic

***

Question: formation energy of number 2 (LaNd3Pb3)?
Answer: -0.4100 eV per atom

***

Question: Which of these has the lowest formation energy?
Answer: La3Nd2Pb3